Compound: Sr2ScNiF
Source: the Alexandria database
Functional: PBE+U
Structure: relaxed

a b c (Å): 5.920 5.920 4.580
angles (deg): 90.00 90.00 90.00
Positions (direct):
1 Sr 0.000 0.500 0.000
2 Sr 0.500 0.000 0.000
3 Sc 0.000 0.000 0.500
4 Ni 0.000 0.000 0.000
5 F 0.500 0.500 0.500

- energy (eV per atom) = -3.08
- symmetry = No. 123